Compound: RbCa2NbRe
Source: Alexandria via LeMat-Bulk
Functional: GGA-PBE
Structure: optimized geometry

## Properties
theoretical density: 4.17 g cm⁻³
crystal system: tetragonal
total energy: -3.44 eV/atom
M_tot: 0.3 μB per formula unit
E_form: 47.56 kcal/mol of atoms

Unit cell a=5.563 b=5.724 c=5.563 alpha=90.00 beta=90.00 gamma=90.00
Site moments in Bohr magnetons follow the coordinates.
Element x y z (fractional)
Rb 0.000 0.500 0.000  -0.01
Nb 0.500 0.500 0.500  0.18
Re 0.000 0.000 0.000  0.19
Ca 0.000 0.000 0.500  0.00
Ca 0.500 0.000 0.000  0.01

---

Compound: RbCaNbS4
Source: Alexandria via LeMat-Bulk
Functional: GGA-PBE
Structure: optimized geometry

## Properties
theoretical density: 2.75 g cm⁻³
crystal system: monoclinic
total energy: -5.59 eV/atom
M_tot: 0.0 μB per formula unit

Unit cell a=6.835 b=7.010 c=9.144 alpha=90.00 beta=107.23 gamma=90.00
Element x y z (fractional)
S 0.991 0.504 0.706
S 0.009 0.004 0.294
S 0.435 0.750 0.173
S 0.009 0.496 0.294
S 0.565 0.250 0.827
S 0.991 0.996 0.706
S 0.437 0.750 0.577
S 0.563 0.250 0.423
Ca 0.781 0.750 0.452
Ca 0.219 0.250 0.548
Rb 0.736 0.750 0.938
Rb 0.264 0.250 0.062
Nb 0.768 0.250 0.668
Nb 0.232 0.750 0.332

---

> Which of these has the lowest theoretical density?

RbCaNbS4

---

> Which value of theoretical density does entry 2 give?

2.75 g cm⁻³

---

Please write out number 2 again, unchanged.
Compound: RbCaNbS4
Source: Alexandria via LeMat-Bulk
Functional: GGA-PBE
Structure: optimized geometry

## Properties
theoretical density: 2.75 g cm⁻³
crystal system: monoclinic
total energy: -5.59 eV/atom
M_tot: 0.0 μB per formula unit

Unit cell a=6.835 b=7.010 c=9.144 alpha=90.00 beta=107.23 gamma=90.00
Element x y z (fractional)
S 0.991 0.504 0.706
S 0.009 0.004 0.294
S 0.435 0.750 0.173
S 0.009 0.496 0.294
S 0.565 0.250 0.827
S 0.991 0.996 0.706
S 0.437 0.750 0.577
S 0.563 0.250 0.423
Ca 0.781 0.750 0.452
Ca 0.219 0.250 0.548
Rb 0.736 0.750 0.938
Rb 0.264 0.250 0.062
Nb 0.768 0.250 0.668
Nb 0.232 0.750 0.332